SrPdO3: optimized geometry, GGA-PBE.

Magnetic moment, Bohr magnetons per cell: 0.16
Symmetry: Amm2 (38)
DFT total energy, eV/atom: -5.61
Energy relative to the elements, uncorrected, kJ/mol of formula units: -607

a = 5.172 Å, b = 3.235 Å, c = 4.103 Å
α = 90.00°, β = 90.00°, γ = 71.78°
Site moments in Bohr magnetons follow the coordinates.
Atoms (fractional coordinates):
Sr 0.362 0.004 0.621  0.00
Pd 0.866 0.251 0.121  0.05
O 0.139 0.615 0.121  0.00
O 0.614 0.877 0.121  0.00
O 0.791 0.289 0.621  0.09


Ac3La4Se8: optimized geometry, GGA-PBE.

Magnetic moment, Bohr magnetons per cell: 0.00
Symmetry: C2/m (12)
DFT total energy, eV/atom: -5.95
Energy relative to the elements, uncorrected, kJ/mol of formula units: -2829

a = 8.725 Å, b = 8.767 Å, c = 8.767 Å
α = 89.95°, β = 119.90°, γ = 119.90°
Atoms (fractional coordinates):
Ac 0.500 0.500 0.000
Ac 0.500 0.000 0.500
Ac 0.500 0.500 0.500
La 0.500 0.000 0.000
La 0.000 0.500 0.000
La 0.000 0.000 0.000
La 0.000 0.000 0.500
Se 0.495 0.244 0.244
Se 0.000 0.753 0.247
Se 0.994 0.244 0.244
Se 0.500 0.753 0.247
Se 0.500 0.247 0.753
Se 0.006 0.756 0.756
Se 0.000 0.247 0.753
Se 0.505 0.756 0.756


Si2HgBr: optimized geometry, GGA-PBE.

Magnetic moment, Bohr magnetons per cell: 0.00
Symmetry: C2/m (12)
Energy above the most stable polymorph in this dataset, meV per atom: 474
DFT total energy, eV/atom: -2.58
Energy relative to the elements, uncorrected, kJ/mol of formula units: 240

a = 5.541 Å, b = 5.541 Å, c = 3.385 Å
α = 74.93°, β = 74.93°, γ = 109.34°
Atoms (fractional coordinates):
Br 0.500 0.000 0.500
Hg 0.000 0.500 0.500
Si 0.000 0.000 0.000
Si 0.500 0.500 0.000


Nd2DyIn: optimized geometry, GGA-PBE.

DFT formation energy, eV/atom: -0.115
Magnetic moment, Bohr magnetons per cell: 0.37
Symmetry: R3m (160)
Energy above the most stable polymorph in this dataset, meV per atom: 154
DFT total energy, eV/atom: -4.33

a = 3.687 Å, b = 3.687 Å, c = 11.246 Å
α = 80.56°, β = 80.56°, γ = 60.00°
Site moments in Bohr magnetons follow the coordinates.
Atoms (fractional coordinates):
Nd 0.079 0.079 0.764  0.05
Nd 0.255 0.255 0.236  0.02
Dy 0.500 0.500 0.500  0.14
In 0.666 0.666 0.001  0.00


ZrAsBr2Cl: optimized geometry, GGA-PBE.

Magnetic moment, Bohr magnetons per cell: 0.70
Symmetry: P4/mmm (123)
Energy above the most stable polymorph in this dataset, meV per atom: 0
DFT total energy, eV/atom: -4.12
Energy relative to the elements, uncorrected, kJ/mol of formula units: -211

a = 5.214 Å, b = 5.214 Å, c = 5.460 Å
α = 90.00°, β = 90.00°, γ = 90.00°
Site moments in Bohr magnetons follow the coordinates.
Atoms (fractional coordinates):
As 0.000 0.000 0.500  0.29
Br 0.000 0.500 0.000  0.04
Br 0.500 0.000 0.000  0.04
Zr 0.000 0.000 0.000  -0.02
Cl 0.500 0.500 0.500  0.01


EuY2Mg: optimized geometry, GGA-PBE.

DFT formation energy, eV/atom: 0.069
Magnetic moment, Bohr magnetons per cell: 7.07
Symmetry: Fm-3m (225)
Energy above the most stable polymorph in this dataset, meV per atom: 62
DFT total energy, eV/atom: -6.13

a = 5.604 Å, b = 5.604 Å, c = 5.604 Å
α = 60.00°, β = 60.00°, γ = 60.00°
Site moments in Bohr magnetons follow the coordinates.
Atoms (fractional coordinates):
Eu 0.000 0.000 0.000  6.83
Y 0.250 0.250 0.250  0.02
Y 0.750 0.750 0.750  0.02
Mg 0.500 0.500 0.500  -0.01


NaPdSeBr2: optimized geometry, GGA-PBE.

Magnetic moment, Bohr magnetons per cell: 1.00
Symmetry: P4/mmm (123)
Energy above the most stable polymorph in this dataset, meV per atom: 0
DFT total energy, eV/atom: -3.11
Energy relative to the elements, uncorrected, kJ/mol of formula units: -215

a = 5.332 Å, b = 5.332 Å, c = 4.901 Å
α = 90.00°, β = 90.00°, γ = 90.00°
Site moments in Bohr magnetons follow the coordinates.
Atoms (fractional coordinates):
Na 0.500 0.500 0.500  0.00
Se 0.000 0.000 0.500  0.42
Br 0.000 0.500 0.000  0.05
Br 0.500 0.000 0.000  0.05
Pd 0.000 0.000 0.000  0.19


UTiNb2: optimized geometry, GGA-PBE.

DFT formation energy, eV/atom: 0.148
Magnetic moment, Bohr magnetons per cell: 0.00
Symmetry: P4/mmm (123)
Energy above the most stable polymorph in this dataset, meV per atom: 79
DFT total energy, eV/atom: -9.68

a = 3.370 Å, b = 3.370 Å, c = 6.575 Å
α = 90.00°, β = 90.00°, γ = 90.00°
Atoms (fractional coordinates):
Nb 0.000 0.000 0.759
Nb 0.000 0.000 0.241
U 0.500 0.500 0.000
Ti 0.500 0.500 0.500


PuTh2MoN5: optimized geometry, GGA-PBE.

Magnetic moment, Bohr magnetons per cell: 10.00
Symmetry: P4/mbm (127)
DFT total energy, eV/atom: -10.01
Energy relative to the elements, uncorrected, kJ/mol of formula units: -817

a = 5.930 Å, b = 6.819 Å, c = 6.819 Å
α = 90.00°, β = 90.00°, γ = 90.00°
Site moments in Bohr magnetons follow the coordinates.
Atoms (fractional coordinates):
Pu 0.000 0.500 0.500  5.13
Pu 0.000 0.000 0.000  5.13
Th 0.500 0.671 0.171  0.01
Th 0.500 0.171 0.329  0.01
Th 0.500 0.829 0.671  0.01
Th 0.500 0.329 0.829  0.01
Mo 0.000 0.000 0.500  -0.02
Mo 0.000 0.500 0.000  -0.02
N 0.500 0.500 0.500  -0.05
N 0.500 0.000 0.000  -0.05
N 0.234 0.145 0.645  -0.04
N 0.234 0.855 0.355  -0.04
N 0.234 0.355 0.145  -0.04
N 0.234 0.645 0.855  -0.04
N 0.766 0.145 0.645  -0.04
N 0.766 0.645 0.855  -0.04
N 0.766 0.855 0.355  -0.04
N 0.766 0.355 0.145  -0.04


CeHfTiNb: optimized geometry, GGA-PBE.

DFT formation energy, eV/atom: 0.172
Magnetic moment, Bohr magnetons per cell: 1.59
Symmetry: F-43m (216)
DFT total energy, eV/atom: -8.29

a = 4.932 Å, b = 4.932 Å, c = 4.932 Å
α = 60.00°, β = 60.00°, γ = 60.00°
Site moments in Bohr magnetons follow the coordinates.
Atoms (fractional coordinates):
Nb 0.500 0.500 0.500  -0.10
Hf 0.750 0.750 0.750  0.16
Ce 0.250 0.250 0.250  0.33
Ti 0.000 0.000 0.000  0.85


AlCuNi: optimized geometry, GGA-PBE.

DFT formation energy, eV/atom: -0.369
Magnetic moment, Bohr magnetons per cell: 0.00
Symmetry: Pnma (62)
Energy above the most stable polymorph in this dataset, meV per atom: 34
DFT total energy, eV/atom: -4.91

a = 4.076 Å, b = 4.691 Å, c = 7.620 Å
α = 90.00°, β = 90.00°, γ = 90.00°
Atoms (fractional coordinates):
Ni 0.250 0.649 0.325
Ni 0.750 0.851 0.825
Ni 0.750 0.351 0.675
Ni 0.250 0.149 0.175
Al 0.250 0.653 0.653
Al 0.750 0.847 0.153
Al 0.750 0.347 0.347
Al 0.250 0.153 0.847
Cu 0.250 0.153 0.507
Cu 0.750 0.347 0.007
Cu 0.750 0.847 0.493
Cu 0.250 0.653 0.993


HoB6Mo2: optimized geometry, GGA-PBE.

DFT formation energy, eV/atom: -0.486
Magnetic moment, Bohr magnetons per cell: 0.00
Symmetry: Immm (71)
Energy above the most stable polymorph in this dataset, meV per atom: 0
DFT total energy, eV/atom: -7.85

a = 3.127 Å, b = 5.738 Å, c = 5.738 Å
α = 75.37°, β = 74.19°, γ = 74.19°
Atoms (fractional coordinates):
Ho 0.500 0.500 0.500
B 0.193 0.565 0.048
B 0.807 0.435 0.952
B 0.807 0.952 0.435
B 0.000 0.172 0.828
B 0.000 0.828 0.172
B 0.193 0.048 0.565
Mo 0.346 0.154 0.154
Mo 0.654 0.846 0.846


MnTeCl2: optimized geometry, GGA-PBE.

Magnetic moment, Bohr magnetons per cell: 4.98
Symmetry: P4/mmm (123)
Energy above the most stable polymorph in this dataset, meV per atom: 141
DFT total energy, eV/atom: -4.46
Energy relative to the elements, uncorrected, kJ/mol of formula units: -178

a = 3.154 Å, b = 3.154 Å, c = 11.323 Å
α = 90.00°, β = 90.00°, γ = 90.00°
Site moments in Bohr magnetons follow the coordinates.
Atoms (fractional coordinates):
Te 0.500 0.500 0.750  0.00
Mn 0.500 0.500 0.250  4.41
Cl 0.000 0.000 0.115  0.12
Cl 0.000 0.000 0.385  0.12


K3TbTm2O6: optimized geometry, GGA-PBE.

Magnetic moment, Bohr magnetons per cell: 0.00
Symmetry: C2/m (12)
DFT total energy, eV/atom: -6.68
Energy relative to the elements, uncorrected, kJ/mol of formula units: -3236

a = 5.975 Å, b = 5.975 Å, c = 6.562 Å
α = 98.73°, β = 98.73°, γ = 120.00°
Atoms (fractional coordinates):
K 0.167 0.833 0.500
K 0.833 0.167 0.500
K 0.500 0.500 0.500
Tb 0.000 0.000 0.000
Tm 0.333 0.667 0.000
Tm 0.667 0.333 0.000
O 0.939 0.600 0.816
O 0.722 0.722 0.184
O 0.061 0.400 0.184
O 0.600 0.939 0.816
O 0.278 0.278 0.816
O 0.400 0.061 0.184


ScMn2Ru: optimized geometry, GGA-PBE.

DFT formation energy, eV/atom: 0.082
Magnetic moment, Bohr magnetons per cell: 6.68
Symmetry: P4/mmm (123)
Energy above the most stable polymorph in this dataset, meV per atom: 147
DFT total energy, eV/atom: -8.40

a = 4.196 Å, b = 4.196 Å, c = 3.469 Å
α = 90.00°, β = 90.00°, γ = 90.00°
Site moments in Bohr magnetons follow the coordinates.
Atoms (fractional coordinates):
Mn 0.000 0.000 0.000  3.12
Mn 0.500 0.500 0.000  3.12
Ru 0.500 0.000 0.500  0.36
Sc 0.000 0.500 0.500  -0.14


MgRePtF2: optimized geometry, GGA-PBE.

Magnetic moment, Bohr magnetons per cell: 2.98
Symmetry: P4/mmm (123)
DFT total energy, eV/atom: -5.76
Energy relative to the elements, uncorrected, kJ/mol of formula units: -481

a = 3.684 Å, b = 6.428 Å, c = 3.684 Å
α = 90.00°, β = 90.00°, γ = 90.00°
Site moments in Bohr magnetons follow the coordinates.
Atoms (fractional coordinates):
Re 0.500 0.500 0.500  2.29
Mg 0.000 0.000 0.000  0.00
Pt 0.000 0.500 0.000  0.24
F 0.000 0.000 0.500  0.02
F 0.500 0.000 0.000  0.01


SrNbZn2: optimized geometry, GGA-PBE.

DFT formation energy, eV/atom: 0.622
Magnetic moment, Bohr magnetons per cell: 6.15
Symmetry: I-42d (122)
DFT total energy, eV/atom: -2.95

a = 4.932 Å, b = 4.932 Å, c = 10.154 Å
α = 75.95°, β = 75.95°, γ = 90.00°
Site moments in Bohr magnetons follow the coordinates.
Atoms (fractional coordinates):
Sr 0.500 0.500 0.000  0.08
Sr 0.250 0.750 0.500  0.08
Nb 0.000 0.000 0.000  2.12
Nb 0.750 0.250 0.500  2.12
Zn 0.839 0.125 0.250  0.04
Zn 0.911 0.625 0.250  0.04
Zn 0.375 0.161 0.750  0.05
Zn 0.875 0.089 0.750  0.05


GePRh3: optimized geometry, GGA-PBE.

DFT formation energy, eV/atom: 0.833
Magnetic moment, Bohr magnetons per cell: 0.00
Symmetry: Pm-3m (221)
Energy above the most stable polymorph in this dataset, meV per atom: 749
DFT total energy, eV/atom: -5.58

a = 4.532 Å, b = 4.532 Å, c = 4.532 Å
α = 90.00°, β = 90.00°, γ = 90.00°
Atoms (fractional coordinates):
P 0.500 0.500 0.500
Ge 0.000 0.000 0.000
Rh 0.000 0.500 0.000
Rh 0.000 0.000 0.500
Rh 0.500 0.000 0.000


NpNiIr: optimized geometry, GGA-PBE.

DFT formation energy, eV/atom: 0.030
Magnetic moment, Bohr magnetons per cell: 2.65
Symmetry: I4mm (107)
Energy above the most stable polymorph in this dataset, meV per atom: 384
DFT total energy, eV/atom: -9.16

a = 3.491 Å, b = 3.491 Å, c = 4.890 Å
α = 110.92°, β = 110.92°, γ = 90.00°
Site moments in Bohr magnetons follow the coordinates.
Atoms (fractional coordinates):
Np 0.279 0.279 0.558  -3.07
Ni 0.953 0.953 0.907  0.28
Ir 0.618 0.618 0.235  0.30